{
  "formula": "Mg2TcNi",
  "functional": "PBE-GGA",
  "state": "optimized geometry",
  "formation_enthalpy_0k_ev_per_fu": 0.9,
  "magmom_total_mub_per_cell": 0.00,
  "e_above_lowest_polymorph_ev_per_atom": 0.1676,
  "sg": "P4/mmm, No. 123",
  "dos_at_fermi_per_ev_fu": 3.12,
  "cell": [[4.614, 0.000, 0.000], [0.000, 4.614, 0.000], [0.000, 0.000, 2.866]],
  "species": ["Mg", "Mg", "Tc", "Ni"],
  "fractional_positions": [[0.000, 0.500, 0.000], [0.500, 0.000, 0.000], [0.000, 0.000, 0.500], [0.500, 0.500, 0.500]]
}

---

{
  "formula": "TaCoBr",
  "functional": "PBE-GGA",
  "state": "optimized geometry",
  "e_form_raw_ev_per_fu": 1.0,
  "magmom_total_mub_per_cell": 1.68,
  "e_above_lowest_polymorph_ev_per_atom": 0.1765,
  "sg": "I4mm, No. 107",
  "dos_at_fermi_per_ev_fu": 2.33,
  "cell": [[3.071, 0.000, 0.000], [0.000, 3.071, 0.000], [0.000, 0.000, 12.528]],
  "species": ["Ta", "Ta", "Co", "Co", "Br", "Br"],
  "fractional_positions": [[0.000, 0.000, 0.000], [0.500, 0.500, 0.500], [0.000, 0.000, 0.605], [0.500, 0.500, 0.105], [0.000, 0.000, 0.345], [0.500, 0.500, 0.845]]
}

---

{
  "formula": "Ta2MnHRh",
  "functional": "PBE-GGA",
  "state": "optimized geometry",
  "magmom_total_mub_per_cell": 1.47,
  "e_above_lowest_polymorph_ev_per_atom": 0.0819,
  "sg": "P4/mmm, No. 123",
  "dos_at_fermi_per_ev_fu": 4.18,
  "cell": [[4.159, 0.000, 0.000], [0.000, 4.159, 0.000], [0.000, 0.000, 3.734]],
  "species": ["Ta", "Ta", "Mn", "H", "Rh"],
  "fractional_positions": [[0.000, 0.500, 0.000], [0.500, 0.000, 0.000], [0.000, 0.000, 0.500], [0.500, 0.500, 0.000], [0.500, 0.500, 0.500]]
}

---

{
  "formula": "Ba2AuCl",
  "functional": "PBE-GGA",
  "state": "optimized geometry",
  "e_form_raw_ev_per_fu": -5.2,
  "magmom_total_mub_per_cell": 0.00,
  "e_above_lowest_polymorph_ev_per_atom": 0.0000,
  "sg": "R-3m, No. 166",
  "dos_at_fermi_per_ev_fu": 1.22,
  "cell": [[4.640, 0.000, 0.000], [-2.320, 4.018, 0.000], [0.000, 0.000, 24.566]],
  "species": ["Ba", "Ba", "Ba", "Ba", "Ba", "Ba", "Au", "Au", "Au", "Cl", "Cl", "Cl"],
  "fractional_positions": [[0.000, 0.000, 0.244], [0.000, 0.000, 0.756], [0.333, 0.667, 0.423], [0.333, 0.667, 0.910], [0.667, 0.333, 0.090], [0.667, 0.333, 0.577], [0.000, 0.000, 0.500], [0.333, 0.667, 0.167], [0.667, 0.333, 0.833], [0.000, 0.000, 0.000], [0.333, 0.667, 0.667], [0.667, 0.333, 0.333]]
}

---

{
  "formula": "Th2Si3Ir5",
  "functional": "PBE-GGA",
  "state": "optimized geometry",
  "e_form_raw_ev_per_fu": -9.7,
  "magmom_total_mub_per_cell": 0.00,
  "sg": "Ibam, No. 72",
  "dos_at_fermi_per_ev_fu": 6.81,
  "cell": [[-4.779, 6.472, 2.897], [4.779, -6.472, 2.897], [4.779, 6.472, -2.897]],
  "species": ["Th", "Th", "Th", "Th", "Si", "Si", "Si", "Si", "Si", "Si", "Ir", "Ir", "Ir", "Ir", "Ir", "Ir", "Ir", "Ir", "Ir", "Ir"],
  "fractional_positions": [[0.135, 0.233, 0.368], [0.365, 0.733, 0.098], [0.635, 0.267, 0.902], [0.865, 0.767, 0.632], [0.109, 0.638, 0.747], [0.250, 0.250, 0.000], [0.391, 0.138, 0.529], [0.609, 0.862, 0.471], [0.750, 0.750, 0.000], [0.891, 0.362, 0.253], [0.031, 0.750, 0.281], [0.123, 0.883, 0.007], [0.250, 0.750, 0.500], [0.377, 0.383, 0.760], [0.469, 0.750, 0.719], [0.531, 0.250, 0.281], [0.623, 0.617, 0.240], [0.750, 0.250, 0.500], [0.877, 0.117, 0.993], [0.969, 0.250, 0.719]]
}

---

{
  "formula": "Pr2Sn2Ru2N",
  "functional": "PBE-GGA",
  "state": "optimized geometry",
  "e_form_raw_ev_per_fu": -4.1,
  "magmom_total_mub_per_cell": 0.00,
  "sg": "C2/m, No. 12",
  "dos_at_fermi_per_ev_fu": 3.47,
  "cell": [[11.738, 0.000, 0.000], [0.000, 4.233, 0.000], [-4.469, 0.000, 6.039]],
  "species": ["Pr", "Pr", "Pr", "Pr", "Sn", "Sn", "Sn", "Sn", "Ru", "Ru", "Ru", "Ru", "N", "N"],
  "fractional_positions": [[0.048, 0.000, 0.272], [0.452, 0.500, 0.728], [0.548, 0.500, 0.272], [0.952, 0.000, 0.728], [0.163, 0.500, 0.692], [0.337, 0.000, 0.308], [0.663, 0.000, 0.692], [0.837, 0.500, 0.308], [0.183, 0.500, 0.068], [0.317, 0.000, 0.932], [0.683, 0.000, 0.068], [0.817, 0.500, 0.932], [0.000, 0.500, 0.000], [0.500, 0.000, 0.000]]
}

---

{
  "formula": "LaTiS2",
  "functional": "PBE-GGA",
  "state": "optimized geometry",
  "e_form_raw_ev_per_fu": -4.3,
  "magmom_total_mub_per_cell": 5.34,
  "e_above_lowest_polymorph_ev_per_atom": 0.2203,
  "sg": "R-3m, No. 166",
  "dos_at_fermi_per_ev_fu": 5.13,
  "cell": [[4.241, 0.000, 0.000], [-2.120, 3.673, 0.000], [0.000, 0.000, 23.083]],
  "species": ["La", "La", "La", "Ti", "Ti", "Ti", "S", "S", "S", "S", "S", "S"],
  "fractional_positions": [[0.000, 0.000, 0.000], [0.333, 0.667, 0.667], [0.667, 0.333, 0.333], [0.000, 0.000, 0.500], [0.333, 0.667, 0.167], [0.667, 0.333, 0.833], [0.000, 0.000, 0.398], [0.000, 0.000, 0.602], [0.333, 0.667, 0.065], [0.333, 0.667, 0.269], [0.667, 0.333, 0.731], [0.667, 0.333, 0.935]]
}

---

{
  "formula": "K2NbNiI",
  "functional": "PBE-GGA",
  "state": "optimized geometry",
  "e_form_raw_ev_per_fu": 2.4,
  "magmom_total_mub_per_cell": 3.28,
  "sg": "P4/mmm, No. 123",
  "dos_at_fermi_per_ev_fu": 5.25,
  "cell": [[6.300, 0.000, 0.000], [0.000, 6.300, 0.000], [0.000, 0.000, 4.663]],
  "species": ["K", "K", "Nb", "Ni", "I"],
  "fractional_positions": [[0.000, 0.500, 0.000], [0.500, 0.000, 0.000], [0.000, 0.000, 0.500], [0.000, 0.000, 0.000], [0.500, 0.500, 0.500]]
}

---

{
  "formula": "YCoBi",
  "functional": "PBE-GGA",
  "state": "optimized geometry",
  "formation_enthalpy_0k_ev_per_fu": -0.1,
  "magmom_total_mub_per_cell": 2.58,
  "sg": "P6_222, No. 180",
  "dos_at_fermi_per_ev_fu": 2.90,
  "cell": [[6.478, 0.000, 0.000], [-3.239, 5.610, 0.000], [0.000, 0.000, 11.647]],
  "species": ["Y", "Y", "Y", "Y", "Y", "Y", "Co", "Co", "Co", "Co", "Co", "Co", "Bi", "Bi", "Bi", "Bi", "Bi", "Bi"],
  "fractional_positions": [[0.000, 0.500, 0.389], [0.000, 0.500, 0.945], [0.500, 0.000, 0.278], [0.500, 0.000, 0.722], [0.500, 0.500, 0.055], [0.500, 0.500, 0.611], [0.197, 0.599, 0.167], [0.401, 0.599, 0.833], [0.401, 0.803, 0.500], [0.599, 0.197, 0.500], [0.599, 0.401, 0.833], [0.803, 0.401, 0.167], [0.000, 0.000, 0.167], [0.000, 0.000, 0.500], [0.000, 0.000, 0.833], [0.000, 0.500, 0.667], [0.500, 0.000, 0.000], [0.500, 0.500, 0.333]]
}

---

{
  "formula": "LaHg2Pt",
  "functional": "PBE-GGA",
  "state": "optimized geometry",
  "formation_enthalpy_0k_ev_per_fu": -1.7,
  "magmom_total_mub_per_cell": 0.00,
  "sg": "I-42d, No. 122",
  "dos_at_fermi_per_ev_fu": 2.84,
  "cell": [[4.220, 0.000, 0.000], [0.000, 4.220, 0.000], [0.000, 0.000, 23.246]],
  "species": ["La", "La", "La", "La", "Hg", "Hg", "Hg", "Hg", "Hg", "Hg", "Hg", "Hg", "Pt", "Pt", "Pt", "Pt"],
  "fractional_positions": [[0.000, 0.000, 0.000], [0.000, 0.500, 0.250], [0.500, 0.000, 0.750], [0.500, 0.500, 0.500], [0.236, 0.250, 0.625], [0.250, 0.736, 0.875], [0.250, 0.764, 0.375], [0.264, 0.250, 0.125], [0.736, 0.750, 0.125], [0.750, 0.236, 0.375], [0.750, 0.264, 0.875], [0.764, 0.750, 0.625], [0.000, 0.000, 0.500], [0.000, 0.500, 0.750], [0.500, 0.000, 0.250], [0.500, 0.500, 0.000]]
}

---

{
  "formula": "SrTi2Tl2",
  "functional": "PBE-GGA",
  "state": "optimized geometry",
  "formation_enthalpy_0k_ev_per_fu": 0.6,
  "magmom_total_mub_per_cell": 5.15,
  "e_above_lowest_polymorph_ev_per_atom": 0.0211,
  "sg": "I4/mmm, No. 139",
  "dos_at_fermi_per_ev_fu": 6.43,
  "cell": [[4.349, 0.000, 0.000], [0.000, 4.349, 0.000], [0.000, 0.000, 13.807]],
  "species": ["Sr", "Sr", "Ti", "Ti", "Ti", "Ti", "Tl", "Tl", "Tl", "Tl"],
  "fractional_positions": [[0.000, 0.000, 0.000], [0.500, 0.500, 0.500], [0.000, 0.500, 0.250], [0.000, 0.500, 0.750], [0.500, 0.000, 0.250], [0.500, 0.000, 0.750], [0.000, 0.000, 0.388], [0.000, 0.000, 0.612], [0.500, 0.500, 0.112], [0.500, 0.500, 0.888]]
}

---

{
  "formula": "RbBaCl3",
  "functional": "PBE-GGA",
  "state": "optimized geometry",
  "e_form_raw_ev_per_fu": -11.3,
  "magmom_total_mub_per_cell": 0.15,
  "sg": "C2/c, No. 15",
  "dos_at_fermi_per_ev_fu": 0.00,
  "cell": [[7.268, -4.183, 0.000], [7.268, 4.183, 0.000], [-4.718, 0.000, 12.922]],
  "species": ["Rb", "Rb", "Rb", "Rb", "Ba", "Ba", "Ba", "Ba", "Cl", "Cl", "Cl", "Cl", "Cl", "Cl", "Cl", "Cl", "Cl", "Cl", "Cl", "Cl"],
  "fractional_positions": [[0.028, 0.678, 0.869], [0.322, 0.972, 0.631], [0.678, 0.028, 0.369], [0.972, 0.322, 0.131], [0.000, 0.500, 0.500], [0.276, 0.724, 0.250], [0.500, 0.000, 0.000], [0.724, 0.276, 0.750], [0.117, 0.229, 0.871], [0.152, 0.719, 0.439], [0.229, 0.117, 0.371], [0.281, 0.848, 0.061], [0.301, 0.399, 0.693], [0.399, 0.301, 0.193], [0.601, 0.699, 0.807], [0.699, 0.601, 0.307], [0.719, 0.152, 0.939], [0.771, 0.883, 0.629], [0.848, 0.281, 0.561], [0.883, 0.771, 0.129]]
}

---

{
  "formula": "In2AgW",
  "functional": "PBE-GGA",
  "state": "optimized geometry",
  "formation_enthalpy_0k_ev_per_fu": 1.8,
  "magmom_total_mub_per_cell": 0.00,
  "e_above_lowest_polymorph_ev_per_atom": 0.0359,
  "sg": "Cmmm, No. 65",
  "dos_at_fermi_per_ev_fu": 1.39,
  "cell": [[3.365, 0.000, 0.000], [0.000, 4.931, 0.000], [0.000, 0.000, 9.412]],
  "species": ["In", "In", "In", "In", "Ag", "Ag", "W", "W"],
  "fractional_positions": [[0.000, 0.000, 0.246], [0.000, 0.000, 0.754], [0.500, 0.500, 0.246], [0.500, 0.500, 0.754], [0.000, 0.500, 0.500], [0.500, 0.000, 0.500], [0.000, 0.500, 0.000], [0.500, 0.000, 0.000]]
}

---

{
  "formula": "Al2GeSbN",
  "functional": "PBE-GGA",
  "state": "optimized geometry",
  "e_form_raw_ev_per_fu": 3.5,
  "magmom_total_mub_per_cell": 0.00,
  "sg": "P4/mmm, No. 123",
  "dos_at_fermi_per_ev_fu": 2.17,
  "cell": [[5.247, 0.000, 0.000], [0.000, 5.247, 0.000], [0.000, 0.000, 3.627]],
  "species": ["Al", "Al", "Ge", "Sb", "N"],
  "fractional_positions": [[0.000, 0.500, 0.000], [0.500, 0.000, 0.000], [0.000, 0.000, 0.000], [0.500, 0.500, 0.500], [0.000, 0.000, 0.500]]
}

---

{
  "formula": "LaNd4Ag4",
  "functional": "PBE-GGA",
  "state": "optimized geometry",
  "formation_enthalpy_0k_ev_per_fu": -0.2,
  "magmom_total_mub_per_cell": 0.00,
  "sg": "P4_2/n, No. 86",
  "dos_at_fermi_per_ev_fu": 13.91,
  "cell": [[9.709, 0.000, 0.000], [0.000, 9.709, 0.000], [0.000, 0.000, 6.092]],
  "species": ["La", "La", "Nd", "Nd", "Nd", "Nd", "Nd", "Nd", "Nd", "Nd", "Ag", "Ag", "Ag", "Ag", "Ag", "Ag", "Ag", "Ag"],
  "fractional_positions": [[0.250, 0.250, 0.250], [0.750, 0.750, 0.750], [0.083, 0.660, 0.147], [0.160, 0.917, 0.647], [0.340, 0.583, 0.647], [0.417, 0.840, 0.147], [0.583, 0.160, 0.853], [0.660, 0.417, 0.353], [0.840, 0.083, 0.353], [0.917, 0.340, 0.853], [0.024, 0.612, 0.641], [0.112, 0.976, 0.141], [0.388, 0.524, 0.141], [0.476, 0.888, 0.641], [0.524, 0.112, 0.359], [0.612, 0.476, 0.859], [0.888, 0.024, 0.859], [0.976, 0.388, 0.359]]
}

---

{
  "formula": "LiSbAsF2",
  "functional": "PBE-GGA",
  "state": "optimized geometry",
  "e_form_raw_ev_per_fu": -5.0,
  "magmom_total_mub_per_cell": 0.00,
  "sg": "P4/mmm, No. 123",
  "dos_at_fermi_per_ev_fu": 5.18,
  "cell": [[3.923, 0.000, 0.000], [0.000, 3.923, 0.000], [0.000, 0.000, 5.453]],
  "species": ["Li", "Sb", "As", "F", "F"],
  "fractional_positions": [[0.000, 0.000, 0.000], [0.000, 0.000, 0.500], [0.500, 0.500, 0.500], [0.000, 0.500, 0.000], [0.500, 0.000, 0.000]]
}

---

{
  "formula": "EuDyAlCu",
  "functional": "PBE-GGA",
  "state": "optimized geometry",
  "formation_enthalpy_0k_ev_per_fu": -0.7,
  "magmom_total_mub_per_cell": 27.31,
  "sg": "F-43m, No. 216",
  "dos_at_fermi_per_ev_fu": 6.25,
  "cell": [[7.267, 0.000, 0.000], [0.000, 7.267, 0.000], [0.000, 0.000, 7.267]],
  "species": ["Eu", "Eu", "Eu", "Eu", "Dy", "Dy", "Dy", "Dy", "Al", "Al", "Al", "Al", "Cu", "Cu", "Cu", "Cu"],
  "fractional_positions": [[0.000, 0.000, 0.000], [0.000, 0.500, 0.500], [0.500, 0.000, 0.500], [0.500, 0.500, 0.000], [0.000, 0.000, 0.500], [0.000, 0.500, 0.000], [0.500, 0.000, 0.000], [0.500, 0.500, 0.500], [0.250, 0.250, 0.250], [0.250, 0.750, 0.750], [0.750, 0.250, 0.750], [0.750, 0.750, 0.250], [0.250, 0.250, 0.750], [0.250, 0.750, 0.250], [0.750, 0.250, 0.250], [0.750, 0.750, 0.750]]
}

---

{
  "formula": "CaPuS",
  "functional": "PBE-GGA",
  "state": "optimized geometry",
  "e_form_raw_ev_per_fu": -2.5,
  "magmom_total_mub_per_cell": 1.47,
  "sg": "P2_1/m, No. 11",
  "dos_at_fermi_per_ev_fu": 4.36,
  "cell": [[5.855, 0.000, 0.000], [0.000, 3.475, 0.000], [-2.862, 0.000, 7.040]],
  "species": ["Ca", "Ca", "Pu", "Pu", "S", "S"],
  "fractional_positions": [[0.149, 0.250, 0.297], [0.851, 0.750, 0.703], [0.444, 0.250, 0.890], [0.556, 0.750, 0.110], [0.300, 0.750, 0.602], [0.700, 0.250, 0.398]]
}